Entry 1:
16
Lattice="5.523 0.000 0.000 0.000 5.483 0.000 0.000 0.000 6.492" Properties=species:S:1:pos:R:3 comment="GGA-PBE AlN, optimized geometry" density_g_cm3=2.8 magmom_total_mub_per_cell=0.0 total_energy_ev_per_atom=-7.17 volume_a3_per_atom=12.29 raw_formation_energy_ev_per_atom=-1.13 pbc="T T T"
Al 0.838 3.223 1.784
N 0.954 2.308 3.418
Al 3.599 5.002 4.708
N 0.873 5.164 1.788
N 1.888 0.319 5.034
Al 1.767 0.570 3.114
Al 4.528 2.172 3.377
N 3.634 3.061 4.704
N 1.808 3.176 0.172
Al 1.924 2.260 5.030
Al 4.685 0.481 1.462
Al 3.756 3.311 0.131
N 4.650 2.422 1.458
N 4.569 5.049 6.320
N 3.715 0.434 3.074
Al 0.995 4.914 6.360

***

Entry 2:
5
Lattice="-0.825 3.772 -3.973 1.516 -3.704 -3.832 -4.546 -1.431 -0.415" Properties=species:S:1:pos:R:3 comment="GGA-PBE ZnFeTeI2, optimized geometry" density_g_cm3=5.7 e_above_lowest_polymorph_mev_per_atom=0 magmom_total_mub_per_cell=0.0 total_energy_ev_per_atom=-2.75 volume_a3_per_atom=29.37 raw_formation_energy_ev_per_atom=0.45 pbc="T T T"
I -0.413 1.886 -1.987
Te -2.273 -0.716 -0.207
Zn -1.928 -0.681 -4.110
Fe 0.000 0.000 0.000
I 0.758 -1.852 -1.916

***

Entry 3:
4
Lattice="0.000 3.303 3.303 3.303 0.000 3.303 3.303 3.303 0.000" Properties=species:S:1:pos:R:3 comment="GGA-PBE HgOs2Pb, optimized geometry" density_g_cm3=18.2 e_above_lowest_polymorph_mev_per_atom=673 magmom_total_mub_per_cell=0.0 total_energy_ev_per_atom=-5.43 volume_a3_per_atom=18.02 formation_energy_mev_per_atom=1190 pbc="T T T"
Os 1.651 1.651 1.651
Os 4.954 4.954 4.954
Pb 3.303 3.303 3.303
Hg 0.000 0.000 0.000

***

Entry 4:
5
Lattice="-4.010 0.823 -0.162 -0.773 -2.849 4.677 0.613 3.414 2.181" Properties=species:S:1:pos:R:3 comment="GGA-PBE HfCdCuC2, optimized geometry" density_g_cm3=6.8 magmom_total_mub_per_cell=0.0 total_energy_ev_per_atom=-4.02 volume_a3_per_atom=18.57 formation_energy_mev_per_atom=2660 pbc="T T T"
C 0.306 1.707 1.090
Cd 0.000 0.000 0.000
Hf -0.387 -1.425 2.338
Cu -2.085 0.694 3.348
C -2.005 0.411 -0.081

***

Entry 5:
5
Lattice="-2.277 -4.889 -1.080 4.867 -1.883 -1.737 1.175 -1.675 5.106" Properties=species:S:1:pos:R:3 comment="GGA-PBE Na3FeAu, optimized geometry" density_g_cm3=3.2 e_above_lowest_polymorph_mev_per_atom=153 magmom_total_mub_per_cell=2.9 total_energy_ev_per_atom=-2.32 volume_a3_per_atom=33.28 formation_energy_mev_per_atom=819 pbc="T T T"
Na 2.434 -0.941 -0.869
Na 0.587 -0.837 2.553
Na -1.138 -2.445 -0.540
Fe 0.000 0.000 0.000
Au 1.883 -4.223 1.144

***

Entry 6:
8
Lattice="-2.726 4.143 -0.960 -4.161 -2.816 -0.339 -5.770 -1.610 9.436" Properties=species:S:1:pos:R:3 comment="GGA-PBE PmDy2Ho4Th, optimized geometry" density_g_cm3=8.9 magmom_total_mub_per_cell=0.0 total_energy_ev_per_atom=-4.93 volume_a3_per_atom=31.73 formation_energy_mev_per_atom=30 pbc="T T T"
Ho -10.168 0.820 5.830
Pm -9.213 -0.946 8.787
Ho -5.932 -0.439 1.662
Th -4.965 -2.213 4.549
Dy -5.770 -1.610 9.436
Ho -6.724 0.156 6.475
Ho -2.489 -1.103 2.307
Dy -4.248 1.266 4.238

***

Entry 7:
12
Lattice="3.199 0.000 0.000 0.000 3.199 0.000 0.000 0.000 17.718" Properties=species:S:1:pos:R:3 comment="GGA-PBE HfPC, optimized geometry" density_g_cm3=8.1 magmom_total_mub_per_cell=0.0 total_energy_ev_per_atom=-8.47 volume_a3_per_atom=15.11 formation_energy_mev_per_atom=-272 pbc="T T T"
Hf 0.793 0.800 12.095
C 2.406 2.399 3.295
C 0.806 0.800 5.564
Hf 0.806 0.800 3.236
P 0.800 0.800 0.417
P 2.400 2.399 8.442
P 0.799 0.800 9.276
Hf 2.406 2.399 5.623
P 2.399 2.399 17.301
C 0.793 0.800 14.423
Hf 2.393 2.399 14.481
C 2.393 2.399 12.154

***

Entry 8:
4
Lattice="-2.667 0.143 3.869 2.451 -4.003 0.264 1.879 0.511 2.080" Properties=species:S:1:pos:R:3 comment="GGA-PBE TaCoP2, optimized geometry" density_g_cm3=9.0 e_above_lowest_polymorph_mev_per_atom=511 magmom_total_mub_per_cell=0.1 total_energy_ev_per_atom=-7.44 volume_a3_per_atom=13.96 formation_energy_mev_per_atom=1 pbc="T T T"
Co 2.165 -1.746 1.172
P -0.108 -1.930 2.066
Ta -0.394 0.327 2.974
P 0.000 0.000 0.000